The following is a GGA-PBE calculation of a relaxed SmCdN crystal, from Alexandria.

Results
- Fermi-level density of states (states/eV/atom) = 0.507
- crystal system = trigonal
- uncorrected formation energy (eV per atom) = -0.710

abc: 3.9909 3.9909 32.0888
angles: 90.00 90.00 120.00
Closest atoms and distances in Å follow each position.
Space group R-3m (No. 166, hexagonal axes)
Inequivalent atoms, fractional coordinates:
Sm1 0.0000 0.0000 0.2076 x6  4 N 2.32-2.34
Cd1 0.0000 0.0000 0.3672 x6  3 Cd 3.17
N1 0.0000 0.0000 0.1347 x6  4 Sm 2.32-2.34

***

The following is a GGA-PBE calculation of a relaxed Tb2SmCdN crystal, from Alexandria.

Results
- Fermi-level density of states (states/eV/atom) = 0.992
- crystal system = tetragonal
- uncorrected formation energy (eV per atom) = -0.805

abc: 4.8554 4.8554 4.9747
angles: 90.00 90.00 90.00
Closest atoms and distances in Å follow each position.
Space group P4/mmm (No. 123)
Inequivalent atoms, fractional coordinates:
Tb1 0.0000 0.5000 0.0000 x2  2 N 2.43
Sm1 0.0000 0.0000 0.5000 x1  2 N 2.49
Cd1 0.5000 0.5000 0.5000 x1  4 Sm 3.43, 8 Tb 3.48
N1 0.0000 0.0000 0.0000 x1  4 Tb 2.43, 2 Sm 2.49

***

The following is a GGA-PBE calculation of a relaxed TbSm2CdN crystal, from Alexandria.

Results
- Fermi-level density of states (states/eV/atom) = 0.985
- crystal system = tetragonal
- uncorrected formation energy (eV per atom) = -0.779

abc: 4.9792 4.9792 4.8362
angles: 90.00 90.00 90.00
Closest atoms and distances in Å follow each position.
Space group P4/mmm (No. 123)
Inequivalent atoms, fractional coordinates:
Tb1 0.0000 0.0000 0.0000 x1  2 N 2.42
Sm1 0.0000 0.5000 0.5000 x2  2 N 2.49
Cd1 0.5000 0.5000 0.0000 x1  8 Sm 3.47, 4 Tb 3.52
N1 0.0000 0.0000 0.5000 x1  2 Tb 2.42, 4 Sm 2.49

***

The following is a GGA-PBE calculation of a relaxed Sm2TmCdN crystal, from Alexandria.

Results
- Fermi-level density of states (states/eV/atom) = 0.782
- crystal system = tetragonal
- uncorrected formation energy (eV per atom) = -0.796

abc: 4.9985 4.9985 4.6949
angles: 90.00 90.00 90.00
Closest atoms and distances in Å follow each position.
Space group P4/mmm (No. 123)
Inequivalent atoms, fractional coordinates:
Sm1 0.0000 0.5000 0.0000 x2  2 N 2.50
Tm1 0.0000 0.0000 0.5000 x1  2 N 2.35
Cd1 0.5000 0.5000 0.5000 x1  8 Sm 3.43, 4 Tm 3.53
N1 0.0000 0.0000 0.0000 x1  2 Tm 2.35, 4 Sm 2.50

***

The following is a GGA-PBE calculation of a relaxed SmY2CdN crystal, from Alexandria.

Results
- Fermi-level density of states (states/eV/atom) = 0.908
- crystal system = tetragonal
- uncorrected formation energy (eV per atom) = -0.826

abc: 4.8388 4.8388 4.9771
angles: 90.00 90.00 90.00
Closest atoms and distances in Å follow each position.
Space group P4/mmm (No. 123)
Inequivalent atoms, fractional coordinates:
Sm1 0.0000 0.0000 0.0000 x1  2 N 2.49
Y1 0.0000 0.5000 0.5000 x2  2 N 2.42
Cd1 0.5000 0.5000 0.0000 x1  4 Sm 3.42, 8 Y 3.47
N1 0.0000 0.0000 0.5000 x1  4 Y 2.42, 2 Sm 2.49

***

The following is a GGA-PBE calculation of a relaxed CdSn2N crystal, from Alexandria.

Results
- Fermi-level density of states (states/eV/atom) = 0.853
- crystal system = cubic
- uncorrected formation energy (eV per atom) = 1.007

abc: 6.9248 6.9248 6.9248
angles: 90.00 90.00 90.00
Closest atoms and distances in Å follow each position.
Space group Fm-3m (No. 225)
Inequivalent atoms, fractional coordinates:
Cd1 0.0000 0.0000 0.0000 x4  8 Sn 3.00
Sn1 0.2500 0.2500 0.2500 x8  4 Cd 3.00, 4 N 3.00
N1 0.0000 0.0000 0.5000 x4  8 Sn 3.00

***

The following is a GGA-PBE calculation of a relaxed Cd2SnN crystal, from Alexandria.

Results
- Fermi-level density of states (states/eV/atom) = 0.367
- crystal system = cubic
- uncorrected formation energy (eV per atom) = 1.101

abc: 6.8806 6.8806 6.8806
angles: 90.00 90.00 90.00
Closest atoms and distances in Å follow each position.
Space group Fm-3m (No. 225)
Inequivalent atoms, fractional coordinates:
Cd1 0.2500 0.2500 0.2500 x8  4 Sn 2.98, 4 N 2.98
Sn1 0.0000 0.0000 0.0000 x4  8 Cd 2.98
N1 0.0000 0.0000 0.5000 x4  8 Cd 2.98

***

The following is a GGA-PBE calculation of a relaxed Cd2SnN crystal, from Alexandria.

Results
- Fermi-level density of states (states/eV/atom) = 0.364
- crystal system = tetragonal
- uncorrected formation energy (eV per atom) = 0.502

abc: 6.4507 6.4507 9.1510
angles: 90.00 90.00 90.00
Closest atoms and distances in Å follow each position.
Space group I-42d (No. 122)
Inequivalent atoms, fractional coordinates:
Cd1 0.1361 0.2500 0.1250 x8  2 N 2.16
Sn1 0.0000 0.0000 0.5000 x4  4 Cd 3.07
N1 0.0000 0.0000 0.0000 x4  4 Cd 2.16

***

The following is a GGA-PBE calculation of a relaxed CdSnN crystal, from Alexandria.

Results
- Fermi-level density of states (states/eV/atom) = 0.318
- crystal system = monoclinic
- uncorrected formation energy (eV per atom) = 0.353

abc: 6.1781 3.5676 10.9291
angles: 90.00 90.08 90.00
Closest atoms and distances in Å follow each position.
Space group Cm (No. 8)
Inequivalent atoms, fractional coordinates:
Cd1 0.0000 0.0000 0.0000 x2  3 Cd 3.17, 3 Sn 3.22-3.23, 1 N 3.26
Cd2 0.1660 0.5000 0.7800 x2  3 N 2.23
Sn1 0.1651 0.5000 0.2271 x2  1 N 2.34
Sn2 0.4985 0.5000 0.5165 x2  4 N 2.02-2.22
N1 0.1650 0.5000 0.4415 x2  4 Sn 2.22-2.34
N2 0.4992 0.5000 0.7017 x2  1 Sn 2.02, 3 Cd 2.23

***

The following is a GGA-PBE calculation of a relaxed CdSnN2 crystal, from Alexandria.

Results
- Fermi-level density of states (states/eV/atom) = 0.395
- crystal system = trigonal
- uncorrected formation energy (eV per atom) = 1.015

abc: 3.7214 3.7214 18.2157
angles: 90.00 90.00 120.00
Closest atoms and distances in Å follow each position.
Space group R-3m (No. 166, hexagonal axes)
Inequivalent atoms, fractional coordinates:
Cd1 0.0000 0.0000 0.0000 x3  6 N 2.41
Sn1 0.0000 0.0000 0.5000 x3  2 N 1.94
N1 0.0000 0.0000 0.3937 x6  1 Sn 1.94

***

The following is a GGA-PBE calculation of a relaxed CdSn3N crystal, from Alexandria.

Results
- Fermi-level density of states (states/eV/atom) = 1.045
- crystal system = cubic
- uncorrected formation energy (eV per atom) = 0.468

abc: 4.8450 4.8450 4.8450
angles: 90.00 90.00 90.00
Closest atoms and distances in Å follow each position.
Space group Pm-3m (No. 221)
Inequivalent atoms, fractional coordinates:
Cd1 0.0000 0.0000 0.0000 x1  12 Sn 3.43
Sn1 0.0000 0.5000 0.5000 x3  2 N 2.42
N1 0.5000 0.5000 0.5000 x1  6 Sn 2.42

***

The following is a GGA-PBE calculation of a relaxed Cd2SnN2 crystal, from Alexandria.

Results
- Fermi-level density of states (states/eV/atom) = 0.090
- crystal system = tetragonal
- uncorrected formation energy (eV per atom) = 1.072

abc: 3.9328 3.9328 11.3330
angles: 90.00 90.00 90.00
Closest atoms and distances in Å follow each position.
Space group I4/mmm (No. 139)
Inequivalent atoms, fractional coordinates:
Cd1 0.0000 0.5000 0.2500 x4  4 N 2.41
Sn1 0.0000 0.0000 0.0000 x2  8 N 3.13, 8 Cd 3.45
N1 0.0000 0.0000 0.3731 x4  4 Cd 2.41

***

The following is a GGA-PBE calculation of a relaxed CdSnN2 crystal, from Alexandria.

Results
- Fermi-level density of states (states/eV/atom) = 0.163
- crystal system = triclinic
- uncorrected formation energy (eV per atom) = 0.193

abc: 3.1681 4.7020 9.5197
angles: 82.25 83.46 89.48
Closest atoms and distances in Å follow each position.
Space group P1 (No. 1)
Inequivalent atoms, fractional coordinates:
Cd1 0.0000 0.0000 0.0000 x1  4 Sn 3.03-3.05, 2 Cd 3.17
Sn1 0.4601 0.4682 0.1177 x1  4 Cd 3.03-3.05, 2 Sn 3.17
N1 0.0464 0.2616 0.6260 x1  1 N 1.11
N2 0.0671 0.4632 0.5491 x1  1 N 1.11

***

The following is a GGA-PBE calculation of a relaxed CdSnN2 crystal, from Alexandria.

Results
- Fermi-level density of states (states/eV/atom) = 0.779
- crystal system = cubic
- uncorrected formation energy (eV per atom) = 1.314

abc: 5.9616 5.9616 5.9616
angles: 90.00 90.00 90.00
Closest atoms and distances in Å follow each position.
Space group Fm-3m (No. 225)
Inequivalent atoms, fractional coordinates:
Cd1 0.0000 0.0000 0.0000 x4  8 N 2.58
Sn1 0.0000 0.0000 0.5000 x4  8 N 2.58
N1 0.2500 0.2500 0.2500 x8  4 Cd 2.58, 4 Sn 2.58